Computed, not measured: a geometry-optimized Ba2LiIn4Ga3 structure at the GGA-PBE level of DFT.

Calculated values
Formation energy, eV per atom: -0.381
Total DFT energy (no corrections), eV/cell: -29.608
Total magnetization, μB per formula unit: 0.0

```
data_Ba2LiIn4Ga3
_cell_length_a 4.770
_cell_length_b 4.770
_cell_length_c 11.883
_cell_angle_alpha 90.00
_cell_angle_beta 90.00
_cell_angle_gamma 90.00
_space_group_name_H-M_alt 'P -4 m 2'
_space_group_IT_number 115
loop_
_space_group_symop_operation_xyz
'x,y,z'
'y,-x,-z'
'-x,-y,z'
'-y,x,-z'
'-x,y,z'
'-y,-x,-z'
'x,-y,z'
'y,x,-z'
loop_
_atom_site_label
_atom_site_fract_x
_atom_site_fract_y
_atom_site_fract_z
Ba1 0.000 0.500 0.248
Li1 0.000 0.000 0.500
In1 0.000 0.000 0.000
In2 0.000 0.500 0.627
In3 0.500 0.500 0.000
Ga1 0.000 0.500 0.861
Ga2 0.500 0.500 0.500
```